Record 1
VASP calculation (GGA-PBE) on a geometry-optimized InGaAgSb structure.

Lattice parameters (Å, degrees): 5.095 5.095 5.095 60.00 60.00 60.00
Positions (direct):
1 Ga 0.500 0.500 0.500
2 In 0.750 0.750 0.750
3 Sb 0.250 0.250 0.250
4 Ag 0.000 0.000 0.000

Results
Space group: No. 216
ΔE_f (raw) (meV/atom): 74
Fermi-level density of states (states/eV per atom): 0.103
Theoretical density (g cm⁻³): 7.4

=====

Record 2
VASP calculation (GGA-PBE) on a geometry-optimized Pm3Pr12Dy5 structure.

Lattice parameters (Å, degrees): 16.466 16.466 16.466 109.47 109.47 109.47
Positions (direct):
1 Dy 0.250 0.375 0.625
2 Dy 0.500 0.500 0.000
3 Dy 0.125 0.375 0.250
4 Dy 0.500 0.500 0.500
5 Dy 0.125 0.750 0.375
6 Dy 0.250 0.875 0.125
7 Dy 0.500 0.000 0.000
8 Dy 0.375 0.250 0.125
9 Dy 0.750 0.125 0.875
10 Dy 0.875 0.625 0.750
11 Dy 0.375 0.125 0.750
12 Dy 0.500 0.000 0.500
13 Dy 0.875 0.250 0.625
14 Dy 0.000 0.000 0.500
15 Dy 0.000 0.000 0.000
16 Dy 0.000 0.500 0.500
17 Dy 0.000 0.500 0.000
18 Dy 0.625 0.750 0.875
19 Dy 0.625 0.875 0.250
20 Dy 0.750 0.625 0.375
21 Pr 0.437 0.368 0.596
22 Pr 0.632 0.563 0.904
23 Pr 0.904 0.841 0.771
24 Pr 0.596 0.729 0.659
25 Pr 0.570 0.341 0.937
26 Pr 0.271 0.868 0.930
27 Pr 0.659 0.229 0.596
28 Pr 0.271 0.404 0.841
29 Pr 0.437 0.070 0.341
30 Pr 0.430 0.771 0.868
31 Pr 0.771 0.430 0.368
32 Pr 0.159 0.096 0.729
33 Pr 0.096 0.937 0.368
34 Pr 0.841 0.937 0.070
35 Pr 0.841 0.904 0.271
36 Pr 0.868 0.271 0.430
37 Pr 0.341 0.771 0.404
38 Pr 0.596 0.868 0.437
39 Pr 0.904 0.063 0.632
40 Pr 0.368 0.437 0.096
41 Pr 0.868 0.596 0.937
42 Pr 0.229 0.659 0.096
43 Pr 0.430 0.659 0.063
44 Pr 0.063 0.159 0.430
45 Pr 0.063 0.904 0.132
46 Pr 0.930 0.563 0.159
47 Pr 0.132 0.729 0.570
48 Pr 0.659 0.430 0.563
49 Pr 0.159 0.063 0.930
50 Pr 0.404 0.132 0.563
51 Pr 0.229 0.570 0.632
52 Pr 0.070 0.437 0.841
53 Pr 0.563 0.930 0.659
54 Pr 0.632 0.070 0.229
55 Pr 0.570 0.229 0.132
56 Pr 0.937 0.841 0.570
57 Pr 0.563 0.632 0.404
58 Pr 0.132 0.404 0.063
59 Pr 0.368 0.930 0.771
60 Pr 0.729 0.132 0.070
61 Pr 0.341 0.570 0.437
62 Pr 0.771 0.341 0.904
63 Pr 0.729 0.596 0.159
64 Pr 0.937 0.096 0.868
65 Pr 0.096 0.159 0.229
66 Pr 0.404 0.271 0.341
67 Pr 0.930 0.368 0.271
68 Pr 0.070 0.632 0.729
69 Pm 0.375 0.625 0.250
70 Pm 0.750 0.875 0.625
71 Pm 0.125 0.250 0.875
72 Pm 0.875 0.750 0.125
73 Pm 0.625 0.250 0.375
74 Pm 0.625 0.375 0.750
75 Pm 0.875 0.125 0.250
76 Pm 0.750 0.375 0.125
77 Pm 0.250 0.625 0.875
78 Pm 0.125 0.875 0.750
79 Pm 0.375 0.750 0.625
80 Pm 0.250 0.125 0.375

Results
Space group: No. 230
Fermi-level density of states (states/eV per atom): 2.166
Theoretical density (g cm⁻³): 5.7
Energy of formation from the pure elements (eV per atom): 0.98

=====

Record 3
VASP calculation (GGA-PBE) on a geometry-optimized K7Na4 structure.

Lattice parameters (Å, degrees): 6.380 11.099 11.099 120.00 90.00 90.00
Positions (direct):
1 Na 0.000 0.333 0.667
2 Na 0.500 0.777 0.554
3 Na 0.500 0.446 0.223
4 Na 0.500 0.777 0.223
5 K 0.000 0.000 0.000
6 K 0.000 0.938 0.469
7 K 0.000 0.531 0.469
8 K 0.500 0.625 0.812
9 K 0.500 0.188 0.812
10 K 0.500 0.188 0.375
11 K 0.000 0.531 0.062

Results
Space group: No. 187
Fermi-level density of states (states/eV per atom): 0.541
Theoretical density (g cm⁻³): 0.9
Energy of formation from the pure elements (eV per atom): 0.05

=====

Record 4
VASP calculation (GGA-PBE) on a geometry-optimized AcPH2Rh2 structure.

Lattice parameters (Å, degrees): 5.557 5.940 6.014 99.33 90.00 90.00
Positions (direct):
1 P 0.250 0.128 0.886
2 P 0.750 0.872 0.114
3 Ac 0.750 0.302 0.705
4 Ac 0.250 0.698 0.295
5 Rh 0.999 0.187 0.195
6 Rh 0.001 0.813 0.805
7 Rh 0.499 0.813 0.805
8 Rh 0.501 0.187 0.195
9 H 0.250 0.620 0.728
10 H 0.750 0.743 0.613
11 H 0.750 0.380 0.272
12 H 0.250 0.257 0.387

Results
Space group: No. 11
Electronic total energy (eV/atom): -5.779
Fermi-level density of states (states/eV per atom): 0.504
Theoretical density (g cm⁻³): 7.9

=====

Record 5
VASP calculation (GGA-PBE) on a geometry-optimized SrMgZn2Hg2 structure.

Lattice parameters (Å, degrees): 4.666 4.666 7.474 90.00 90.00 120.00
Positions (direct):
1 Hg 0.667 0.333 0.707
2 Hg 0.333 0.667 0.293
3 Zn 0.667 0.333 0.300
4 Zn 0.333 0.667 0.700
5 Mg 0.000 0.000 0.500
6 Sr 0.000 0.000 0.000

Results
Space group: No. 164
Fermi-level density of states (states/eV per atom): 0.475
Theoretical density (g cm⁻³): 7.6
Energy of formation from the pure elements (eV per atom): -0.29

=====

Record 6
VASP calculation (GGA-PBE) on a geometry-optimized TlZnSnHg structure.

Lattice parameters (Å, degrees): 5.252 5.252 5.252 60.00 60.00 60.00
Positions (direct):
1 Zn 0.000 0.000 0.000
2 Hg 0.500 0.500 0.500
3 Tl 0.250 0.250 0.250
4 Sn 0.750 0.750 0.750

Results
Space group: No. 216
Fermi-level density of states (states/eV per atom): 0.952
Theoretical density (g cm⁻³): 9.6
Energy of formation from the pure elements (eV per atom): 0.16

=====

Record 7
VASP calculation (GGA-PBE) on a geometry-optimized YBe3 structure.

Lattice parameters (Å, degrees): 4.259 4.259 4.256 120.08 119.82 90.12
Positions (direct):
1 Y 0.250 0.750 0.500
2 Be 0.999 0.999 0.000
3 Be 0.501 0.501 0.000
4 Be 0.750 0.250 0.500

Results
Space group: No. 71
Fermi-level density of states (states/eV per atom): 0.267
Theoretical density (g cm⁻³): 3.5
Energy of formation from the pure elements (eV per atom): 0.18

=====

Record 8
VASP calculation (GGA-PBE) on a geometry-optimized GeTeS2N structure.

Lattice parameters (Å, degrees): 4.970 4.970 3.605 90.00 90.00 90.00
Positions (direct):
1 Te 0.500 0.500 0.500
2 S 0.500 0.000 0.000
3 S 0.000 0.500 0.000
4 Ge 0.000 0.000 0.000
5 N 0.000 0.000 0.500

Results
Space group: No. 123
ΔE_f (raw) (meV/atom): 701
Fermi-level density of states (states/eV per atom): 0.662
Theoretical density (g cm⁻³): 5.2

=====

Record 9
VASP calculation (GGA-PBE) on a geometry-optimized SrTb2Se4 structure.

Lattice parameters (Å, degrees): 4.153 7.124 14.153 90.00 90.00 106.94
Positions (direct):
1 Tb 0.866 0.731 0.569
2 Tb 0.866 0.731 0.931
3 Tb 0.134 0.269 0.431
4 Tb 0.134 0.269 0.069
5 Sr 0.612 0.224 0.750
6 Sr 0.388 0.776 0.250
7 Se 0.500 0.000 0.000
8 Se 0.500 0.000 0.500
9 Se 0.051 0.103 0.250
10 Se 0.229 0.459 0.884
11 Se 0.949 0.897 0.750
12 Se 0.771 0.541 0.384
13 Se 0.229 0.459 0.616
14 Se 0.771 0.541 0.116

Results
Space group: No. 63
ΔE_f (raw) (meV/atom): -1946
Theoretical density (g cm⁻³): 6.0

=====

Record 10
VASP calculation (GGA-PBE) on a geometry-optimized ScFeRh2Au structure.

Lattice parameters (Å, degrees): 4.568 4.947 4.568 90.00 90.00 90.00
Last column: magnetic moment on the atom in μB.
Positions (direct):
1 Fe 0.500 0.500 0.500  0.18
2 Rh 0.500 0.000 0.000  0.08
3 Rh 0.000 0.000 0.500  0.11
4 Sc 0.000 0.000 0.000  -0.02
5 Au 0.000 0.500 0.000  -0.01

Results
Space group: No. 123
Fermi-level density of states (states/eV per atom): 1.999
Theoretical density (g cm⁻³): 8.1
Energy of formation from the pure elements (eV per atom): 1.27

=====

Record 11
VASP calculation (GGA-PBE) on a geometry-optimized CsW structure.

Lattice parameters (Å, degrees): 13.164 13.164 4.262 90.00 90.00 90.00
Positions (direct):
1 Cs 0.318 0.630 0.500
2 Cs 0.182 0.870 0.000
3 Cs 0.870 0.818 0.000
4 Cs 0.682 0.370 0.500
5 Cs 0.370 0.318 0.500
6 Cs 0.630 0.682 0.500
7 Cs 0.818 0.130 0.000
8 Cs 0.130 0.182 0.000
9 W 0.481 0.913 0.000
10 W 0.913 0.519 0.000
11 W 0.019 0.587 0.500
12 W 0.981 0.413 0.500
13 W 0.087 0.481 0.000
14 W 0.587 0.981 0.500
15 W 0.413 0.019 0.500
16 W 0.519 0.087 0.000

Results
Space group: No. 87
Fermi-level density of states (states/eV per atom): 0.911
Theoretical density (g cm⁻³): 5.7
Energy of formation from the pure elements (eV per atom): 1.22

=====

Record 12
VASP calculation (GGA-PBE) on a geometry-optimized KTe2CN structure.

Lattice parameters (Å, degrees): 5.970 5.970 4.219 90.00 90.00 90.00
Last column: magnetic moment on the atom in μB.
Positions (direct):
1 Te 0.000 0.500 0.000  0.01
2 Te 0.500 0.000 0.000  0.01
3 K 0.000 0.000 0.000  0.04
4 N 0.000 0.000 0.500  0.05
5 C 0.500 0.500 0.500  0.01

Results
Space group: No. 123
ΔE_f (raw) (meV/atom): 3088
Fermi-level density of states (states/eV per atom): 1.343
Theoretical density (g cm⁻³): 3.5

=====

Record 13
VASP calculation (GGA-PBE) on a geometry-optimized VHOsRh2 structure.

Lattice parameters (Å, degrees): 3.805 3.805 3.986 90.00 90.00 90.00
Last column: magnetic moment on the atom in μB.
Positions (direct):
1 H 0.000 0.000 0.000  0.00
2 V 0.000 0.000 0.500  0.17
3 Rh 0.000 0.500 0.000  -0.01
4 Rh 0.500 0.000 0.000  -0.01
5 Os 0.500 0.500 0.500  -0.07

Results
Space group: No. 123
Electronic total energy (eV/atom): -7.829
Fermi-level density of states (states/eV per atom): 0.634
Theoretical density (g cm⁻³): 12.9

=====

Record 14
VASP calculation (GGA-PBE) on a geometry-optimized Pm6Ni2PdCl3 structure.

Lattice parameters (Å, degrees): 4.054 8.770 9.673 108.64 102.09 90.00
Positions (direct):
1 Cl 0.832 0.165 0.663
2 Cl 0.168 0.835 0.337
3 Cl 0.500 0.500 0.000
4 Pm 0.677 0.562 0.355
5 Pm 0.015 0.239 0.030
6 Pm 0.339 0.880 0.678
7 Pm 0.323 0.438 0.645
8 Pm 0.985 0.761 0.970
9 Pm 0.661 0.120 0.322
10 Ni 0.832 0.661 0.665
11 Ni 0.168 0.339 0.335
12 Pd 0.500 0.000 0.000

Results
Space group: No. 12
ΔE_f (raw) (meV/atom): -971
Fermi-level density of states (states/eV per atom): 0.901
Theoretical density (g cm⁻³): 6.3

=====

Record 15
VASP calculation (GGA-PBE) on a geometry-optimized MnAl5Ir4 structure.

Lattice parameters (Å, degrees): 2.992 2.992 15.054 90.00 90.00 90.00
Last column: magnetic moment on the atom in μB.
Positions (direct):
1 Ir 0.000 0.000 0.803  -0.04
2 Ir 0.000 0.000 0.197  -0.04
3 Ir 0.000 0.000 0.601  -0.01
4 Ir 0.000 0.000 0.399  -0.01
5 Al 0.500 0.500 0.908  -0.02
6 Al 0.500 0.500 0.296  0.00
7 Al 0.500 0.500 0.500  0.00
8 Al 0.500 0.500 0.704  0.00
9 Al 0.500 0.500 0.092  -0.02
10 Mn 0.000 0.000 0.000  1.35

Results
Space group: No. 123
Fermi-level density of states (states/eV per atom): 0.331
Theoretical density (g cm⁻³): 11.8
Energy of formation from the pure elements (eV per atom): -0.81

=====

Record 16
VASP calculation (GGA-PBE) on a geometry-optimized SrCuAg2 structure.

Lattice parameters (Å, degrees): 4.567 4.567 5.953 67.20 67.20 60.03
Positions (direct):
1 Ag 0.953 0.953 0.143
2 Ag 0.547 0.547 0.357
3 Sr 0.750 0.750 0.750
4 Cu 0.250 0.250 0.250

Results
Space group: No. 12
Fermi-level density of states (states/eV per atom): 0.465
Theoretical density (g cm⁻³): 6.3
Energy of formation from the pure elements (eV per atom): -0.11

=====

Record 17
VASP calculation (GGA-PBE) on a geometry-optimized YCd2Si structure.

Lattice parameters (Å, degrees): 5.118 3.419 5.256 83.50 90.00 90.00
Positions (direct):
1 Cd 0.000 0.398 0.488
2 Cd 0.000 0.102 0.012
3 Y 0.500 0.750 0.750
4 Si 0.500 0.250 0.250

Results
Space group: No. 10
ΔE_f (raw) (meV/atom): -110
Fermi-level density of states (states/eV per atom): 0.551
Theoretical density (g cm⁻³): 6.2

=====

Record 18
VASP calculation (GGA-PBE) on a geometry-optimized Ac6Sn2Ir structure.

Lattice parameters (Å, degrees): 7.162 8.997 10.894 90.00 91.51 90.00
Positions (direct):
1 Ac 0.120 0.030 0.756
2 Ac 0.850 0.668 0.944
3 Ac 0.150 0.332 0.056
4 Ac 0.650 0.168 0.556
5 Ac 0.380 0.530 0.744
6 Ac 0.139 0.308 0.447
7 Ac 0.350 0.832 0.444
8 Ac 0.880 0.970 0.244
9 Ac 0.620 0.470 0.256
10 Ac 0.361 0.808 0.053
11 Ac 0.861 0.692 0.553
12 Ac 0.639 0.192 0.947
13 Sn 0.430 0.116 0.245
14 Sn 0.070 0.616 0.255
15 Sn 0.570 0.884 0.755
16 Sn 0.930 0.384 0.745
17 Ir 0.000 0.000 0.500
18 Ir 0.500 0.500 0.000

Results
Space group: No. 14
Fermi-level density of states (states/eV per atom): 1.226
Theoretical density (g cm⁻³): 8.5
Energy of formation from the pure elements (eV per atom): -0.51

=====

Record 19
VASP calculation (GGA-PBE) on a geometry-optimized CaHgGe2Os structure.

Lattice parameters (Å, degrees): 5.119 5.219 5.119 90.00 90.00 90.00
Last column: magnetic moment on the atom in μB.
Positions (direct):
1 Hg 0.000 0.000 0.000  0.01
2 Os 0.000 0.500 0.000  1.59
3 Ca 0.500 0.500 0.500  -0.02
4 Ge 0.500 0.000 0.000  -0.02
5 Ge 0.000 0.000 0.500  -0.02

Results
Space group: No. 123
Fermi-level density of states (states/eV per atom): 0.767
Theoretical density (g cm⁻³): 7.0
Energy of formation from the pure elements (eV per atom): 1.14

=====

Record 20
VASP calculation (GGA-PBE) on a geometry-optimized Rb4SnBi2 structure.

Lattice parameters (Å, degrees): 7.356 7.356 10.083 68.60 68.60 90.00
Last column: magnetic moment on the atom in μB.
Positions (direct):
1 Sn 0.000 0.000 0.000  0.76
2 Rb 0.207 0.207 0.586  0.01
3 Rb 0.500 0.000 0.000  0.04
4 Rb 0.000 0.500 0.000  0.04
5 Rb 0.793 0.793 0.414  0.01
6 Bi 0.585 0.585 0.831  0.42
7 Bi 0.415 0.415 0.169  0.42

Results
Space group: No. 139
Fermi-level density of states (states/eV per atom): 0.533
Theoretical density (g cm⁻³): 3.1
Energy of formation from the pure elements (eV per atom): 0.07

=====

Record 21
VASP calculation (GGA-PBE) on a geometry-optimized VSb2TeBr structure.

Lattice parameters (Å, degrees): 5.186 5.186 5.067 90.00 90.00 90.00
Positions (direct):
1 Sb 0.000 0.500 0.000
2 Sb 0.500 0.000 0.000
3 Br 0.500 0.500 0.500
4 V 0.000 0.000 0.000
5 Te 0.000 0.000 0.500

Results
Space group: No. 123
ΔE_f (raw) (meV/atom): 79
Fermi-level density of states (states/eV per atom): 0.678
Theoretical density (g cm⁻³): 6.1